(1)
PmYGe2O8 | PBE | relaxed Values from VASP.

The structure in Quantum ESPRESSO input format:
```
&SYSTEM
  ibrav = 0, nat = 12, ntyp = 4
/
ATOMIC_SPECIES
O 16.00 O.upf
Ge 72.64 Ge.upf
Pm 145.00 Pm.upf
Y 88.91 Y.upf
CELL_PARAMETERS angstrom
-4.103 -2.846 -1.252
-0.582 -1.333 4.938
-1.055 6.625 -1.019
ATOMIC_POSITIONS crystal
O 0.677 0.268 0.841
O 0.589 0.689 0.666
O 0.077 0.977 0.666
O 0.165 0.574 0.841
O 0.732 0.835 0.159
Ge 0.250 0.750 0.500
O 0.426 0.323 0.159
Ge 0.500 0.500 0.000
O 0.023 0.411 0.334
O 0.311 0.923 0.334
Pm 0.750 0.250 0.500
Y 0.000 0.000 0.000
```

Summary:
Volume   12.65 Å³ per atom
Formation energy (no corrections)   -2217 meV/atom
Space group   I-4, No. 82
E_tot   -7.226 eV/atom

***

(2)
Pm4Y2Ge3O2 | PBE | relaxed Values from VASP.

The structure in Quantum ESPRESSO input format:
```
&SYSTEM
  ibrav = 0, nat = 11, ntyp = 4
/
ATOMIC_SPECIES
O 16.00 O.upf
Y 88.91 Y.upf
Pm 145.00 Pm.upf
Ge 72.64 Ge.upf
CELL_PARAMETERS angstrom
4.669 0.000 0.000
0.000 4.669 0.000
-2.334 -2.334 12.017
ATOMIC_POSITIONS crystal
O 0.605 0.605 0.211
Y 0.300 0.300 0.601
Pm 0.081 0.581 0.163
Ge 0.823 0.823 0.645
Ge 0.000 0.000 0.000
Pm 0.581 0.081 0.163
Y 0.700 0.700 0.399
Ge 0.177 0.177 0.355
Pm 0.919 0.419 0.837
O 0.395 0.395 0.789
Pm 0.419 0.919 0.837
```

Summary:
Volume   23.81 Å³ per atom
Formation energy (no corrections)   -1507 meV/atom
Space group   I4/mmm, No. 139
E_tot   -6.570 eV/atom

***

(3)
Pm2ZnGeO6 | PBE | relaxed Values from VASP.

The structure in Quantum ESPRESSO input format:
```
&SYSTEM
  ibrav = 0, nat = 10, ntyp = 4
/
ATOMIC_SPECIES
O 16.00 O.upf
Pm 145.00 Pm.upf
Zn 65.41 Zn.upf
Ge 72.64 Ge.upf
CELL_PARAMETERS angstrom
-4.567 -1.491 -0.060
0.811 -2.296 -4.658
1.417 -4.438 2.434
ATOMIC_POSITIONS crystal
O 0.159 0.500 0.500
O 0.718 0.239 0.761
O 0.718 0.761 0.239
Pm 0.019 0.000 0.500
Zn 0.562 0.500 0.500
O 0.718 0.761 0.761
O 0.220 0.000 0.000
O 0.718 0.239 0.239
Ge 0.596 0.000 0.000
Pm 0.019 0.500 0.000
```

Summary:
Volume   13.28 Å³ per atom
Formation energy (no corrections)   -2418 meV/atom
Space group   P4mm, No. 99
E_tot   -6.932 eV/atom

***

(4)
PmZrGe2O8 | PBE | relaxed Values from VASP.

The structure in Quantum ESPRESSO input format:
```
&SYSTEM
  ibrav = 0, nat = 12, ntyp = 4
/
ATOMIC_SPECIES
O 16.00 O.upf
Ge 72.64 Ge.upf
Zr 91.22 Zr.upf
Pm 145.00 Pm.upf
CELL_PARAMETERS angstrom
5.930 0.117 0.000
-2.525 5.367 0.000
-1.703 -2.742 4.976
ATOMIC_POSITIONS crystal
O 0.927 0.233 0.306
Ge 0.500 0.500 0.000
O 0.305 0.480 0.175
O 0.520 0.695 0.825
O 0.305 0.130 0.825
Zr 0.000 0.000 0.000
O 0.927 0.621 0.694
Pm 0.250 0.750 0.500
O 0.767 0.073 0.694
Ge 0.750 0.250 0.500
O 0.870 0.695 0.175
O 0.379 0.073 0.306
```

Summary:
Volume   13.32 Å³ per atom
Formation energy (no corrections)   -2299 meV/atom
Space group   I-4m2, No. 119
E_tot   -7.483 eV/atom

***

(5)
Pr3GeO | PBE | relaxed Values from VASP.

The structure in Quantum ESPRESSO input format:
```
&SYSTEM
  ibrav = 0, nat = 10, ntyp = 3
/
ATOMIC_SPECIES
O 16.00 O.upf
Pr 140.91 Pr.upf
Ge 72.64 Ge.upf
CELL_PARAMETERS angstrom
-3.845 2.843 -0.455
-2.752 -3.356 2.287
4.210 3.209 9.777
ATOMIC_POSITIONS crystal
O 0.562 0.250 0.624
Pr 0.074 0.250 0.650
Ge 0.835 0.250 0.172
Pr 0.304 0.750 0.107
Pr 0.441 0.250 0.381
O 0.438 0.750 0.376
Pr 0.696 0.250 0.893
Ge 0.165 0.750 0.828
Pr 0.559 0.750 0.619
Pr 0.926 0.750 0.350
```

Summary:
Volume   25.58 Å³ per atom
Formation energy (no corrections)   -1361 meV/atom
Space group   P2_1/m, No. 11
E_tot   -6.144 eV/atom

***

(6)
PrGeO4 | PBE | relaxed Values from VASP.

The structure in Quantum ESPRESSO input format:
```
&SYSTEM
  ibrav = 0, nat = 12, ntyp = 3
/
ATOMIC_SPECIES
O 16.00 O.upf
Ge 72.64 Ge.upf
Pr 140.91 Pr.upf
CELL_PARAMETERS angstrom
-2.833 3.813 -2.294
0.299 -2.680 -4.824
-2.966 -3.292 4.257
ATOMIC_POSITIONS crystal
O 0.705 0.941 0.180
Ge 0.500 0.500 0.500
O 0.475 0.441 0.180
O 0.133 0.680 0.354
O 0.221 0.180 0.354
Pr 0.216 0.750 0.000
O 0.525 0.559 0.820
O 0.779 0.820 0.646
O 0.295 0.059 0.820
O 0.867 0.320 0.646
Pr 0.784 0.250 0.000
Ge 0.000 0.000 0.500
```

Summary:
Volume   12.29 Å³ per atom
Formation energy (no corrections)   -2035 meV/atom
Space group   C2/c, No. 15
E_tot   -6.906 eV/atom

***

(7)
Pr5Ge2O12 | PBE | relaxed Values from VASP.

The structure in Quantum ESPRESSO input format:
```
&SYSTEM
  ibrav = 0, nat = 19, ntyp = 3
/
ATOMIC_SPECIES
O 16.00 O.upf
Pr 140.91 Pr.upf
Ge 72.64 Ge.upf
CELL_PARAMETERS angstrom
-3.821 1.797 4.250
-2.721 -4.390 -4.813
3.564 -4.494 5.105
ATOMIC_POSITIONS crystal
O 0.404 0.310 0.580
O 0.104 0.692 0.924
O 0.412 0.308 0.076
O 0.906 0.310 0.580
Pr 0.695 0.391 0.838
Ge 0.244 0.000 0.000
Pr 0.000 0.000 0.500
O 0.094 0.690 0.420
Pr 0.691 0.382 0.356
O 0.998 0.997 0.829
O 0.596 0.690 0.420
O 0.002 0.003 0.171
O 0.896 0.308 0.076
Pr 0.305 0.609 0.162
Ge 0.756 0.000 0.000
O 0.501 0.002 0.831
O 0.499 0.998 0.169
O 0.588 0.692 0.924
Pr 0.309 0.618 0.644
```

Summary:
Volume   14.78 Å³ per atom
Formation energy (no corrections)   -2741 meV/atom
Space group   C2/m, No. 12
E_tot   -7.616 eV/atom

***

(8)
Pr3GeO | PBE | relaxed Values from VASP.

The structure in Quantum ESPRESSO input format:
```
&SYSTEM
  ibrav = 0, nat = 5, ntyp = 3
/
ATOMIC_SPECIES
Pr 140.91 Pr.upf
Ge 72.64 Ge.upf
O 16.00 O.upf
CELL_PARAMETERS angstrom
4.936 0.000 0.000
0.000 4.936 0.000
0.000 0.000 4.936
ATOMIC_POSITIONS crystal
Pr 0.000 0.500 0.000
Ge 0.500 0.500 0.500
Pr 0.500 0.000 0.000
O 0.000 0.000 0.000
Pr 0.000 0.000 0.500
```

Summary:
Volume   24.05 Å³ per atom
Formation energy (no corrections)   -1349 meV/atom
Space group   Pm-3m, No. 221
E_tot   -6.131 eV/atom

***

(9)
PrGeO2 | PBE | relaxed Values from VASP.

The structure in Quantum ESPRESSO input format:
```
&SYSTEM
  ibrav = 0, nat = 4, ntyp = 3
/
ATOMIC_SPECIES
O 16.00 O.upf
Ge 72.64 Ge.upf
Pr 140.91 Pr.upf
CELL_PARAMETERS angstrom
-2.396 1.290 -2.123
-3.185 -1.329 -0.019
-3.732 4.401 4.080
ATOMIC_POSITIONS crystal
O 0.885 0.885 0.344
O 0.115 0.115 0.656
Ge 0.500 0.500 0.500
Pr 0.000 0.000 0.000
```

Summary:
Volume   17.49 Å³ per atom
Formation energy (no corrections)   -1119 meV/atom
Space group   R-3m, No. 166
E_tot   -5.947 eV/atom

***

(10)
Pr5Ge3O13 | PBE | relaxed Values from VASP.

The structure in Quantum ESPRESSO input format:
```
&SYSTEM
  ibrav = 0, nat = 42, ntyp = 3
/
ATOMIC_SPECIES
O 16.00 O.upf
Pr 140.91 Pr.upf
Ge 72.64 Ge.upf
CELL_PARAMETERS angstrom
-6.840 2.918 -6.630
-2.219 -7.065 6.666
-2.319 5.105 4.639
ATOMIC_POSITIONS crystal
O 0.526 0.132 0.750
O 0.000 0.000 0.250
O 0.244 0.897 0.446
O 0.474 0.868 0.250
Pr 0.995 0.762 0.250
O 0.318 0.494 0.750
O 0.132 0.606 0.250
O 0.244 0.897 0.054
O 0.494 0.176 0.250
O 0.606 0.474 0.750
O 0.176 0.682 0.750
O 0.394 0.526 0.250
O 0.682 0.506 0.250
Pr 0.667 0.333 0.500
O 0.653 0.756 0.446
O 0.897 0.653 0.554
O 0.756 0.103 0.554
Pr 0.667 0.333 0.000
Pr 0.233 0.995 0.750
Ge 0.972 0.602 0.750
Pr 0.333 0.667 0.000
Ge 0.602 0.630 0.250
O 0.824 0.318 0.250
O 0.897 0.653 0.946
O 0.347 0.244 0.554
Pr 0.005 0.238 0.750
O 0.000 0.000 0.750
Pr 0.238 0.233 0.250
Ge 0.630 0.028 0.750
O 0.103 0.347 0.054
Ge 0.398 0.370 0.750
Ge 0.028 0.398 0.250
O 0.868 0.394 0.750
O 0.756 0.103 0.946
Pr 0.767 0.005 0.250
Pr 0.762 0.767 0.750
O 0.103 0.347 0.446
Ge 0.370 0.972 0.250
O 0.347 0.244 0.946
Pr 0.333 0.667 0.500
O 0.506 0.824 0.750
O 0.653 0.756 0.054
```

Summary:
Volume   14.90 Å³ per atom
Formation energy (no corrections)   -2646 meV/atom
Space group   P6_3/m, No. 176
E_tot   -7.513 eV/atom

***

(11)
Pr3Ge5O12 | PBE | relaxed Values from VASP.

The structure in Quantum ESPRESSO input format:
```
&SYSTEM
  ibrav = 0, nat = 80, ntyp = 3
/
ATOMIC_SPECIES
Ge 72.64 Ge.upf
O 16.00 O.upf
Pr 140.91 Pr.upf
CELL_PARAMETERS angstrom
-0.437 -1.750 -11.216
-6.993 -7.258 5.240
-3.191 10.658 2.297
ATOMIC_POSITIONS crystal
Ge 0.125 0.750 0.375
O 0.127 0.723 0.524
Pr 0.875 0.125 0.250
O 0.476 0.777 0.873
O 0.404 0.127 0.604
Ge 0.500 0.500 0.500
Pr 0.625 0.250 0.375
Pr 0.625 0.375 0.750
Ge 0.750 0.625 0.375
O 0.277 0.404 0.801
O 0.199 0.096 0.723
O 0.904 0.801 0.777
O 0.896 0.096 0.873
Pr 0.875 0.750 0.125
Ge 0.500 0.500 0.000
Ge 0.375 0.125 0.750
O 0.777 0.476 0.373
O 0.699 0.476 0.604
Ge 0.625 0.750 0.875
Ge 0.375 0.250 0.125
O 0.476 0.699 0.104
Ge 0.875 0.250 0.625
Pr 0.750 0.875 0.625
O 0.127 0.404 0.104
Ge 0.250 0.375 0.625
O 0.873 0.596 0.896
O 0.723 0.596 0.199
O 0.373 0.976 0.777
Pr 0.125 0.250 0.875
O 0.896 0.801 0.524
Ge 0.750 0.125 0.875
O 0.904 0.104 0.627
O 0.223 0.524 0.627
Pr 0.250 0.125 0.375
Ge 0.000 0.000 0.000
O 0.024 0.627 0.723
O 0.096 0.896 0.373
O 0.277 0.873 0.976
Ge 0.000 0.500 0.500
O 0.104 0.904 0.127
O 0.396 0.024 0.301
O 0.104 0.199 0.476
Pr 0.250 0.625 0.875
O 0.777 0.301 0.904
Ge 0.250 0.875 0.125
O 0.699 0.223 0.596
Ge 0.625 0.875 0.250
O 0.976 0.373 0.277
Ge 0.500 0.000 0.500
O 0.524 0.223 0.127
O 0.604 0.976 0.699
Ge 0.875 0.625 0.750
O 0.301 0.524 0.396
Pr 0.125 0.875 0.750
O 0.627 0.604 0.904
O 0.096 0.199 0.223
O 0.801 0.904 0.277
O 0.373 0.396 0.096
Ge 0.000 0.000 0.500
O 0.873 0.277 0.476
Ge 0.500 0.000 0.000
O 0.976 0.604 0.199
O 0.199 0.104 0.976
O 0.223 0.699 0.096
Pr 0.375 0.750 0.625
O 0.396 0.373 0.596
Pr 0.750 0.375 0.125
O 0.801 0.896 0.024
Pr 0.375 0.625 0.250
Ge 0.000 0.500 0.000
O 0.596 0.873 0.396
Ge 0.125 0.375 0.250
O 0.024 0.396 0.801
O 0.723 0.127 0.024
O 0.301 0.777 0.404
O 0.524 0.301 0.896
O 0.604 0.627 0.404
O 0.404 0.277 0.301
O 0.627 0.024 0.223
O 0.596 0.723 0.699
```

Summary:
Volume   14.11 Å³ per atom
Formation energy (no corrections)   -2095 meV/atom
Space group   Ia-3d, No. 230
E_tot   -6.941 eV/atom

***

(12)
PrGe2O6 | PBE | relaxed Values from VASP.

The structure in Quantum ESPRESSO input format:
```
&SYSTEM
  ibrav = 0, nat = 18, ntyp = 3
/
ATOMIC_SPECIES
O 16.00 O.upf
Ge 72.64 Ge.upf
Pr 140.91 Pr.upf
CELL_PARAMETERS angstrom
5.603 -0.225 1.352
1.411 7.298 1.332
-0.391 -0.287 7.536
ATOMIC_POSITIONS crystal
O 0.812 0.556 0.077
O 0.997 0.676 0.635
Ge 0.302 0.206 0.343
O 0.188 0.444 0.923
O 0.688 0.923 0.444
O 0.503 0.365 0.324
O 0.312 0.077 0.556
O 0.122 0.839 0.929
O 0.878 0.161 0.071
O 0.497 0.635 0.676
Ge 0.802 0.343 0.206
Pr 0.250 0.128 0.872
O 0.003 0.324 0.365
Ge 0.198 0.657 0.794
Pr 0.750 0.872 0.128
Ge 0.698 0.794 0.657
O 0.622 0.929 0.839
O 0.378 0.071 0.161
```

Summary:
Volume   17.56 Å³ per atom
Formation energy (no corrections)   -1918 meV/atom
Space group   C2/c, No. 15
E_tot   -6.781 eV/atom

***

(13)
PrGeO | PBE | relaxed Values from VASP.

The structure in Quantum ESPRESSO input format:
```
&SYSTEM
  ibrav = 0, nat = 6, ntyp = 3
/
ATOMIC_SPECIES
Ge 72.64 Ge.upf
O 16.00 O.upf
Pr 140.91 Pr.upf
CELL_PARAMETERS angstrom
3.945 0.000 0.791
1.893 3.461 0.791
0.272 0.162 8.884
ATOMIC_POSITIONS crystal
Ge 0.854 0.854 0.438
O 0.701 0.701 0.897
O 0.299 0.299 0.103
Pr 0.608 0.608 0.175
Pr 0.392 0.392 0.825
Ge 0.146 0.146 0.562
```

Summary:
Volume   20.05 Å³ per atom
Formation energy (no corrections)   -2057 meV/atom
Space group   R-3m, No. 166
E_tot   -6.842 eV/atom

***

(14)
Rb3Pr3GeO8 | PBE | relaxed Values from VASP.

The structure in Quantum ESPRESSO input format:
```
&SYSTEM
  ibrav = 0, nat = 15, ntyp = 4
/
ATOMIC_SPECIES
Rb 85.47 Rb.upf
O 16.00 O.upf
Pr 140.91 Pr.upf
Ge 72.64 Ge.upf
CELL_PARAMETERS angstrom
-5.483 4.234 1.462
-0.622 -7.006 0.814
4.338 3.804 5.254
ATOMIC_POSITIONS crystal
Rb 0.000 0.000 0.000
Rb 0.500 0.500 0.000
O 0.727 0.454 0.680
Pr 0.500 0.500 0.500
Ge 0.000 0.000 0.500
O 0.805 0.609 0.338
O 0.229 0.033 0.338
Pr 0.000 0.500 0.500
O 0.273 0.546 0.320
Pr 0.500 0.000 0.500
O 0.771 0.967 0.662
O 0.195 0.391 0.662
O 0.196 0.967 0.662
O 0.804 0.033 0.338
Rb 0.000 0.500 0.000
```

Summary:
Volume   19.23 Å³ per atom
Formation energy (no corrections)   -2277 meV/atom
Space group   R-3m, No. 166
E_tot   -6.378 eV/atom

***

(15)
Rb2PrGeO4 | PBE | relaxed Values from VASP.

The structure in Quantum ESPRESSO input format:
```
&SYSTEM
  ibrav = 0, nat = 8, ntyp = 4
/
ATOMIC_SPECIES
Pr 140.91 Pr.upf
O 16.00 O.upf
Rb 85.47 Rb.upf
Ge 72.64 Ge.upf
CELL_PARAMETERS angstrom
6.100 0.032 0.048
-2.570 5.532 -0.048
-2.570 -2.270 5.044
ATOMIC_POSITIONS crystal
Pr 0.500 0.250 0.750
O 0.085 0.257 0.554
Rb 0.500 0.750 0.250
Rb 0.000 0.000 0.000
O 0.297 0.828 0.743
O 0.703 0.446 0.531
O 0.915 0.469 0.172
Ge 0.000 0.500 0.500
```

Summary:
Volume   21.36 Å³ per atom
Formation energy (no corrections)   -1885 meV/atom
Space group   I-4, No. 82
E_tot   -5.781 eV/atom

***

(16)
Rb4Pr3GeO8 | PBE | relaxed Values from VASP.

The structure in Quantum ESPRESSO input format:
```
&SYSTEM
  ibrav = 0, nat = 16, ntyp = 4
/
ATOMIC_SPECIES
O 16.00 O.upf
Ge 72.64 Ge.upf
Rb 85.47 Rb.upf
Pr 140.91 Pr.upf
CELL_PARAMETERS angstrom
7.220 0.000 0.000
0.000 7.799 0.389
-3.610 -3.604 5.115
ATOMIC_POSITIONS crystal
O 0.216 0.678 0.962
O 0.218 0.679 0.435
Ge 0.000 0.500 0.000
O 0.728 0.684 0.456
O 0.746 0.678 0.962
Rb 0.000 0.000 0.500
Rb 0.500 0.000 0.000
O 0.782 0.321 0.565
Rb 0.000 0.000 0.000
O 0.784 0.322 0.038
O 0.272 0.316 0.544
O 0.254 0.322 0.038
Rb 0.500 0.000 0.500
Pr 0.500 0.500 0.000
Pr 0.000 0.500 0.500
Pr 0.500 0.500 0.500
```

Summary:
Volume   18.64 Å³ per atom
Formation energy (no corrections)   -2121 meV/atom
Space group   C2/m, No. 12
E_tot   -6.027 eV/atom